# 1
DFT (PBE) results for a geometry-optimized Li2HfReS structure.

Unit cell a=4.5478 b=4.5478 c=4.3266 alpha=90.00 beta=90.00 gamma=90.00
With the nearest neighbours (Å) after each atom.
Space group P4/mmm (No. 123)
Inequivalent atoms, fractional coordinates:
Li1 0.0000 0.5000 0.0000 (multiplicity 2)  2 Re 2.27
Hf1 0.0000 0.0000 0.5000 (multiplicity 1)  8 Li 3.14, 4 S 3.22
Re1 0.5000 0.5000 0.0000 (multiplicity 1)  2 S 2.16, 4 Li 2.27
S1 0.5000 0.5000 0.5000 (multiplicity 1)  2 Re 2.16

Summary:
- Total magnetic moment: 0.0 μB per formula unit
- E_form (uncorrected): 729 meV/atom
- Volume: 17.9 Å³/atom
- DFT total energy: -26.71 eV for the cell shown

# 2
DFT (PBE) results for a geometry-optimized LiHfScRe structure.

Unit cell a=6.5554 b=6.5554 c=6.5554 alpha=90.00 beta=90.00 gamma=90.00
With the nearest neighbours (Å) after each atom.
Space group F-43m (No. 216)
Inequivalent atoms, fractional coordinates:
Li1 0.0000 0.0000 0.0000 (multiplicity 4)  4 Hf 2.84, 4 Sc 2.84
Hf1 0.2500 0.2500 0.2500 (multiplicity 4)  4 Li 2.84, 4 Re 2.84
Sc1 0.2500 0.2500 0.7500 (multiplicity 4)  4 Li 2.84, 4 Re 2.84
Re1 0.0000 0.0000 0.5000 (multiplicity 4)  4 Hf 2.84, 4 Sc 2.84

Summary:
- Total magnetic moment: 0.0 μB per formula unit
- ΔE_f: -0.126 eV/atom
- Volume: 17.6 Å³/atom
- DFT total energy: -124.60 eV for the cell shown

Copy entry 1 word for word.
DFT (PBE) results for a geometry-optimized Li2HfReS structure.

Unit cell a=4.5478 b=4.5478 c=4.3266 alpha=90.00 beta=90.00 gamma=90.00
With the nearest neighbours (Å) after each atom.
Space group P4/mmm (No. 123)
Inequivalent atoms, fractional coordinates:
Li1 0.0000 0.5000 0.0000 (multiplicity 2)  2 Re 2.27
Hf1 0.0000 0.0000 0.5000 (multiplicity 1)  8 Li 3.14, 4 S 3.22
Re1 0.5000 0.5000 0.0000 (multiplicity 1)  2 S 2.16, 4 Li 2.27
S1 0.5000 0.5000 0.5000 (multiplicity 1)  2 Re 2.16

Summary:
- Total magnetic moment: 0.0 μB per formula unit
- E_form (uncorrected): 729 meV/atom
- Volume: 17.9 Å³/atom
- DFT total energy: -26.71 eV for the cell shown

- Which value of total magnetic moment does entry 2 give?
  0.0 μB per formula unit

- What is the formula in the first record?
  Li2HfReS